A relaxed KAu3S5 crystal, computed with PBE.

## Properties
- Total energy: -3.49 eV/atom

abc: 6.5296 6.5296 6.3198
angles: 90.00 90.00 120.00
Space group P6/mmm (No. 191)
One atom of each set of equivalent atoms:
K (0.0000, 0.0000, 0.0000) (multiplicity 1)
Au (0.0000, 0.5000, 0.5000) (multiplicity 3)
S (0.0000, 0.0000, 0.5000) (multiplicity 1)
S (0.3333, 0.6667, 0.2564) (multiplicity 4)